Density functional theory data (PBE-GGA) for an optimized crystal structure of HgH12I6.

Geometry as CIF:
```
data_HgH12I6
_chemical_formula_sum 'Hg3 H36 I18'
_symmetry_space_group_name_H-M 'R -3'
_symmetry_Int_Tables_number 148
_symmetry_space_group_name_Hall '-R 3'
_cell_length_a 12.7781
_cell_length_b 12.7781
_cell_length_c 10.0435
_cell_angle_alpha 90.00
_cell_angle_beta 90.00
_cell_angle_gamma 120.00
loop_
_atom_site_label
_atom_site_type_symbol
_atom_site_fract_x
_atom_site_fract_y
_atom_site_fract_z
_atom_site_occupancy
Hg1 Hg 0.0000 0.0000 0.0000 1
H1 H 0.0589 0.9371 0.9037 1
H2 H 0.0909 0.5561 0.1901 1
I1 I 0.0444 0.2537 0.6410 1
```

Total DFT energy (no corrections), eV for the cell shown: -134.1

---

Density functional theory data (PBE-GGA) for an optimized crystal structure of CaZrCd3.

Geometry as CIF:
```
data_CaZrCd3
_chemical_formula_sum 'Ca1 Zr1 Cd3'
_symmetry_space_group_name_H-M 'P m -3 m'
_symmetry_Int_Tables_number 221
_symmetry_space_group_name_Hall '-P 4 2 3'
_cell_length_a 5.543
_cell_length_b 5.543
_cell_length_c 5.543
_cell_angle_alpha 90.00
_cell_angle_beta 90.00
_cell_angle_gamma 90.00
loop_
_atom_site_label
_atom_site_type_symbol
_atom_site_fract_x
_atom_site_fract_y
_atom_site_fract_z
_atom_site_occupancy
Ca1 Ca 0.000 0.000 0.000 1
Zr1 Zr 0.500 0.500 0.500 1
Cd1 Cd 0.000 0.500 0.500 1
```

DFT formation energy, meV/atom: 474

---

Density functional theory data (PBE-GGA) for an optimized crystal structure of Tb2DyEr2Mg2.

Geometry as CIF:
```
data_Tb2DyEr2Mg2
_chemical_formula_sum 'Tb6 Dy3 Er6 Mg6'
_symmetry_space_group_name_H-M 'R -3 m'
_symmetry_Int_Tables_number 166
_symmetry_space_group_name_Hall '-R 3 2"'
_cell_length_a 5.4167
_cell_length_b 5.4167
_cell_length_c 23.9003
_cell_angle_alpha 90.00
_cell_angle_beta 90.00
_cell_angle_gamma 120.00
loop_
_atom_site_label
_atom_site_type_symbol
_atom_site_fract_x
_atom_site_fract_y
_atom_site_fract_z
_atom_site_occupancy
Tb1 Tb 0.0000 0.0000 0.1551 1
Dy1 Dy 0.0000 0.0000 0.0000 1
Er1 Er 0.0000 0.0000 0.4270 1
Mg1 Mg 0.0000 0.0000 0.2897 1
```

DFT formation energy, meV/atom: -19

---

Density functional theory data (PBE-GGA) for an optimized crystal structure of NaTb5Tl3.

Geometry as CIF:
```
data_NaTb5Tl3
_chemical_formula_sum 'Na2 Tb10 Tl6'
_symmetry_space_group_name_H-M 'P 63/m c m'
_symmetry_Int_Tables_number 193
_symmetry_space_group_name_Hall '-P 6c 2'
_cell_length_a 9.3984
_cell_length_b 9.3984
_cell_length_c 6.7022
_cell_angle_alpha 90.00
_cell_angle_beta 90.00
_cell_angle_gamma 120.00
loop_
_atom_site_label
_atom_site_type_symbol
_atom_site_fract_x
_atom_site_fract_y
_atom_site_fract_z
_atom_site_occupancy
Na1 Na 0.0000 0.0000 0.0000 1
Tb1 Tb 0.0000 0.3191 0.2500 1
Tb2 Tb 0.3333 0.6667 0.0000 1
Tl1 Tl 0.0000 0.3460 0.7500 1
```

DFT formation energy, meV/atom: -248

---

Density functional theory data (PBE-GGA) for an optimized crystal structure of Rb2LiAu.

Geometry as CIF:
```
data_Rb2LiAu
_chemical_formula_sum 'Rb8 Li4 Au4'
_symmetry_space_group_name_H-M 'I -4 2 d'
_symmetry_Int_Tables_number 122
_symmetry_space_group_name_Hall 'I -4 2bw'
_cell_length_a 12.830
_cell_length_b 12.830
_cell_length_c 5.137
_cell_angle_alpha 90.00
_cell_angle_beta 90.00
_cell_angle_gamma 90.00
loop_
_atom_site_label
_atom_site_type_symbol
_atom_site_fract_x
_atom_site_fract_y
_atom_site_fract_z
_atom_site_occupancy
Rb1 Rb 0.085 0.250 0.125 1
Li1 Li 0.000 0.000 0.500 1
Au1 Au 0.000 0.000 0.000 1
```

DFT formation energy, meV/atom: -107

---

Density functional theory data (PBE-GGA) for an optimized crystal structure of CoMoCl2.

Geometry as CIF:
```
data_CoMoCl2
_chemical_formula_sum 'Co2 Mo2 Cl4'
_symmetry_space_group_name_H-M 'I -4 m 2'
_symmetry_Int_Tables_number 119
_symmetry_space_group_name_Hall 'I -4 -2'
_cell_length_a 3.547
_cell_length_b 3.547
_cell_length_c 10.690
_cell_angle_alpha 90.00
_cell_angle_beta 90.00
_cell_angle_gamma 90.00
loop_
_atom_site_label
_atom_site_type_symbol
_atom_site_fract_x
_atom_site_fract_y
_atom_site_fract_z
_atom_site_occupancy
Co1 Co 0.000 0.000 0.000 1
Mo1 Mo 0.000 0.500 0.750 1
Cl1 Cl 0.000 0.000 0.500 1
Cl2 Cl 0.000 0.500 0.250 1
```

Formation energy (no corrections), meV/atom: 754

---

Density functional theory data (PBE-GGA) for an optimized crystal structure of AlNiSb2.

Geometry as CIF:
```
data_AlNiSb2
_chemical_formula_sum 'Al2 Ni2 Sb4'
_symmetry_space_group_name_H-M 'C 1 2/m 1'
_symmetry_Int_Tables_number 12
_cell_length_a 6.400
_cell_length_b 7.579
_cell_length_c 3.401
_cell_angle_alpha 90.00
_cell_angle_beta 101.87
_cell_angle_gamma 90.00
loop_
_symmetry_equiv_pos_as_xyz
'x,y,z'
'-x,-y,-z'
'-x,y,-z'
'x,-y,z'
'x+1/2,y+1/2,z'
'-x+1/2,-y+1/2,-z'
'-x+1/2,y+1/2,-z'
'x+1/2,-y+1/2,z'
loop_
_atom_site_label
_atom_site_type_symbol
_atom_site_fract_x
_atom_site_fract_y
_atom_site_fract_z
_atom_site_occupancy
Al1 Al 0.000 0.000 0.000 1
Ni1 Ni 0.000 0.500 0.000 1
Sb1 Sb 0.250 0.250 0.500 1
```

Formation energy (no corrections), meV/atom: 256

---

Density functional theory data (PBE-GGA) for an optimized crystal structure of Sm6Dy2HoTm3.

Geometry as CIF:
```
data_Sm6Dy2HoTm3
_chemical_formula_sum 'Sm12 Dy4 Ho2 Tm6'
_symmetry_space_group_name_H-M 'C 1 2/m 1'
_symmetry_Int_Tables_number 12
_cell_length_a 6.195
_cell_length_b 10.727
_cell_length_c 11.747
_cell_angle_alpha 90.00
_cell_angle_beta 100.08
_cell_angle_gamma 90.00
loop_
_symmetry_equiv_pos_as_xyz
'x,y,z'
'-x,-y,-z'
'-x,y,-z'
'x,-y,z'
'x+1/2,y+1/2,z'
'-x+1/2,-y+1/2,-z'
'-x+1/2,y+1/2,-z'
'x+1/2,-y+1/2,z'
loop_
_atom_site_label
_atom_site_type_symbol
_atom_site_fract_x
_atom_site_fract_y
_atom_site_fract_z
_atom_site_occupancy
Sm1 Sm 0.249 0.000 0.248 1
Sm2 Sm 0.249 0.333 0.249 1
Dy1 Dy 0.000 0.333 0.500 1
Ho1 Ho 0.000 0.000 0.500 1
Tm1 Tm 0.000 0.167 0.000 1
Tm2 Tm 0.000 0.500 0.000 1
```

DFT formation energy, meV/atom: 16

---

Density functional theory data (PBE-GGA) for an optimized crystal structure of PmNd3Y7.

Geometry as CIF:
```
data_PmNd3Y7
_chemical_formula_sum 'Pm1 Nd3 Y7'
_symmetry_space_group_name_H-M 'P 3 m 1'
_symmetry_Int_Tables_number 156
_cell_length_a 7.1459
_cell_length_b 7.1459
_cell_length_c 8.7472
_cell_angle_alpha 90.00
_cell_angle_beta 90.00
_cell_angle_gamma 120.00
loop_
_symmetry_equiv_pos_as_xyz
'x,y,z'
'-y,x-y,z'
'-x+y,-x,z'
'-y,-x,z'
'-x+y,y,z'
'x,x-y,z'
loop_
_atom_site_label
_atom_site_type_symbol
_atom_site_fract_x
_atom_site_fract_y
_atom_site_fract_z
_atom_site_occupancy
Pm1 Pm 0.0000 0.0000 0.0000 1
Nd1 Nd 0.1667 0.3335 0.6628 1
Y1 Y 0.0015 0.5008 0.9999 1
Y2 Y 0.3320 0.1660 0.3270 1
Y3 Y 0.3333 0.6667 0.3258 1
```

DFT formation energy, meV/atom: 179

---

Density functional theory data (PBE-GGA) for an optimized crystal structure of RbCeGa2Br8.

Geometry as CIF:
```
data_RbCeGa2Br8
_chemical_formula_sum 'Rb1 Ce1 Ga2 Br8'
_symmetry_space_group_name_H-M 'P -1'
_symmetry_Int_Tables_number 2
_cell_length_a 6.989
_cell_length_b 7.056
_cell_length_c 9.668
_cell_angle_alpha 82.62
_cell_angle_beta 80.89
_cell_angle_gamma 82.83
loop_
_symmetry_equiv_pos_as_xyz
'x,y,z'
'-x,-y,-z'
loop_
_atom_site_label
_atom_site_type_symbol
_atom_site_fract_x
_atom_site_fract_y
_atom_site_fract_z
_atom_site_occupancy
Rb1 Rb 0.000 0.000 0.000 1
Ce1 Ce 0.000 0.000 0.500 1
Ga1 Ga 0.451 0.470 0.222 1
Br1 Br 0.221 0.798 0.707 1
Br2 Br 0.234 0.304 0.472 1
Br3 Br 0.265 0.838 0.275 1
Br4 Br 0.305 0.366 0.011 1
```

Formation energy (no corrections), meV/atom: -1151

---

Density functional theory data (PBE-GGA) for an optimized crystal structure of BaCrFe2.

Geometry as CIF:
```
data_BaCrFe2
_chemical_formula_sum 'Ba1 Cr1 Fe2'
_symmetry_space_group_name_H-M 'P 4/m m m'
_symmetry_Int_Tables_number 123
_symmetry_space_group_name_Hall '-P 4 2'
_cell_length_a 4.225
_cell_length_b 4.225
_cell_length_c 4.447
_cell_angle_alpha 90.00
_cell_angle_beta 90.00
_cell_angle_gamma 90.00
loop_
_atom_site_label
_atom_site_type_symbol
_atom_site_fract_x
_atom_site_fract_y
_atom_site_fract_z
_atom_site_occupancy
Ba1 Ba 0.000 0.000 0.000 1
Cr1 Cr 0.500 0.500 0.000 1
Fe1 Fe 0.000 0.500 0.500 1
```

DFT formation energy, meV/atom: 1210

---

Density functional theory data (PBE-GGA) for an optimized crystal structure of Sr3TlP.

Geometry as CIF:
```
data_Sr3TlP
_chemical_formula_sum 'Sr12 Tl4 P4'
_symmetry_space_group_name_H-M 'C 1 2/m 1'
_symmetry_Int_Tables_number 12
_cell_length_a 13.863
_cell_length_b 6.007
_cell_length_c 9.464
_cell_angle_alpha 90.00
_cell_angle_beta 104.92
_cell_angle_gamma 90.00
loop_
_symmetry_equiv_pos_as_xyz
'x,y,z'
'-x,-y,-z'
'-x,y,-z'
'x,-y,z'
'x+1/2,y+1/2,z'
'-x+1/2,-y+1/2,-z'
'-x+1/2,y+1/2,-z'
'x+1/2,-y+1/2,z'
loop_
_atom_site_label
_atom_site_type_symbol
_atom_site_fract_x
_atom_site_fract_y
_atom_site_fract_z
_atom_site_occupancy
Sr1 Sr 0.079 0.000 0.209 1
Sr2 Sr 0.144 0.500 0.907 1
Sr3 Sr 0.178 0.000 0.632 1
Tl1 Tl 0.087 0.500 0.429 1
P1 P 0.139 0.000 0.927 1
```

DFT formation energy, meV/atom: -663

---

Please write out number 10 again, unchanged.
Density functional theory data (PBE-GGA) for an optimized crystal structure of RbCeGa2Br8.

Geometry as CIF:
```
data_RbCeGa2Br8
_chemical_formula_sum 'Rb1 Ce1 Ga2 Br8'
_symmetry_space_group_name_H-M 'P -1'
_symmetry_Int_Tables_number 2
_cell_length_a 6.989
_cell_length_b 7.056
_cell_length_c 9.668
_cell_angle_alpha 82.62
_cell_angle_beta 80.89
_cell_angle_gamma 82.83
loop_
_symmetry_equiv_pos_as_xyz
'x,y,z'
'-x,-y,-z'
loop_
_atom_site_label
_atom_site_type_symbol
_atom_site_fract_x
_atom_site_fract_y
_atom_site_fract_z
_atom_site_occupancy
Rb1 Rb 0.000 0.000 0.000 1
Ce1 Ce 0.000 0.000 0.500 1
Ga1 Ga 0.451 0.470 0.222 1
Br1 Br 0.221 0.798 0.707 1
Br2 Br 0.234 0.304 0.472 1
Br3 Br 0.265 0.838 0.275 1
Br4 Br 0.305 0.366 0.011 1
```

Formation energy (no corrections), meV/atom: -1151